[1]
# PBE TiCd3Os, optimized geometry
data_TiCd3Os
_space_group_name_H-M_alt 'P m -3 m'
_space_group_IT_number 221
_space_group_name_Hall '-P 4 2 3'
_cell_length_a 5.1505
_cell_length_b 5.1505
_cell_length_c 5.1505
_cell_angle_alpha 90.00
_cell_angle_beta 90.00
_cell_angle_gamma 90.00
loop_
_atom_site_label
_atom_site_fract_x
_atom_site_fract_y
_atom_site_fract_z
_atom_site_occupancy
Ti1 0.0000 0.0000 0.0000 1
Cd1 0.0000 0.0000 0.5000 1
Os1 0.5000 0.5000 0.5000 1
# volume	27.33	Å³ per atom
# raw total energy	-2.474	eV/atom
# ρ	6.99	g/cm3
# relative energy among the computed polymorphs	687.5	meV per atom
# total moment	4.09	μB/f.u.

---

[2]
# PBE Si2Pt, optimized geometry
data_Si2Pt
_space_group_name_H-M_alt 'P -3 m 1'
_space_group_IT_number 164
_space_group_name_Hall '-P 3 2"'
_cell_length_a 3.2082
_cell_length_b 3.2082
_cell_length_c 5.2291
_cell_angle_alpha 90.00
_cell_angle_beta 90.00
_cell_angle_gamma 120.00
loop_
_atom_site_label
_atom_site_fract_x
_atom_site_fract_y
_atom_site_fract_z
_atom_site_occupancy
Si1 0.3333 0.6667 0.1763 1
Pt1 0.0000 0.0000 0.5000 1
# volume	15.54	Å³ per atom
# raw total energy	-5.837	eV/atom
# formation energy without anion corrections	-0.208	eV per atom
# ρ	8.95	g/cm3
# total moment	0.00	μB/f.u.

---

[3]
# PBE KTa2CoSe, optimized geometry
data_KTa2CoSe
_space_group_name_H-M_alt 'P 4/m m m'
_space_group_IT_number 123
_space_group_name_Hall '-P 4 2'
_cell_length_a 4.9042
_cell_length_b 4.9042
_cell_length_c 4.5013
_cell_angle_alpha 90.00
_cell_angle_beta 90.00
_cell_angle_gamma 90.00
loop_
_atom_site_label
_atom_site_fract_x
_atom_site_fract_y
_atom_site_fract_z
_atom_site_occupancy
K1 0.0000 0.0000 0.0000 1
Ta1 0.0000 0.5000 0.5000 1
Co1 0.5000 0.5000 0.0000 1
Se1 0.5000 0.5000 0.5000 1
# volume	21.65	Å³ per atom
# raw total energy	-5.871	eV/atom
# formation energy without anion corrections	1.208	eV per atom
# ρ	8.27	g/cm3
# total moment	0.23	μB/f.u.

---

[4]
# PBE Ce3Tl3FeS8, optimized geometry
data_Ce3Tl3FeS8
_space_group_name_H-M_alt 'R -3 m'
_space_group_IT_number 166
_space_group_name_Hall '-R 3 2"'
_cell_length_a 8.0270
_cell_length_b 8.0270
_cell_length_c 22.5873
_cell_angle_alpha 90.00
_cell_angle_beta 90.00
_cell_angle_gamma 120.00
loop_
_atom_site_label
_atom_site_fract_x
_atom_site_fract_y
_atom_site_fract_z
_atom_site_occupancy
Ce1 0.0000 0.5000 0.0000 1
Tl1 0.0000 0.5000 0.5000 1
Fe1 0.0000 0.0000 0.0000 1
S1 0.0000 0.0000 0.2650 1
S2 0.0214 0.5107 0.7289 1
# volume	28.01	Å³ per atom
# raw total energy	-5.577	eV/atom
# formation energy without anion corrections	-1.151	eV per atom
# ρ	5.32	g/cm3
# total moment	5.69	μB/f.u.

---

[5]
# PBE Li2AlTl, optimized geometry
data_Li2AlTl
_space_group_name_H-M_alt 'P m m 2'
_space_group_IT_number 25
_cell_length_a 3.1064
_cell_length_b 4.6765
_cell_length_c 5.1135
_cell_angle_alpha 90.00
_cell_angle_beta 90.00
_cell_angle_gamma 90.00
loop_
_space_group_symop_operation_xyz
'x,y,z'
'-x,-y,z'
'-x,y,z'
'x,-y,z'
loop_
_atom_site_label
_atom_site_fract_x
_atom_site_fract_y
_atom_site_fract_z
_atom_site_occupancy
Li1 0.0000 0.0000 0.0000 1
Li2 0.0000 0.5000 0.3412 1
Al1 0.5000 0.0000 0.4876 1
Tl1 0.5000 0.5000 0.8419 1
# volume	18.57	Å³ per atom
# raw total energy	-2.623	eV/atom
# ρ	5.48	g/cm3
# total moment	0.00	μB/f.u.

---

[6]
# PBE NpSnRh2, optimized geometry
data_NpSnRh2
_space_group_name_H-M_alt 'P 4/m m m'
_space_group_IT_number 123
_space_group_name_Hall '-P 4 2'
_cell_length_a 4.7419
_cell_length_b 4.7419
_cell_length_c 3.3229
_cell_angle_alpha 90.00
_cell_angle_beta 90.00
_cell_angle_gamma 90.00
loop_
_atom_site_label
_atom_site_fract_x
_atom_site_fract_y
_atom_site_fract_z
_atom_site_occupancy
Np1 0.0000 0.0000 0.0000 1
Sn1 0.5000 0.5000 0.0000 1
Rh1 0.0000 0.5000 0.5000 1
# volume	18.68	Å³ per atom
# raw total energy	-8.251	eV/atom
# ρ	12.48	g/cm3
# total moment	3.37	μB/f.u.

---

What is the formula in the fifth record? Li2AlTl